1.
Sr2MnTlO4 | PBE with a Hubbard U | relaxed

abc: 6.8841 6.8841 8.2253
angles: 120.36 120.36 84.31
Each line ends with the local moment (μB).
Fractional positions:
Sr: 0.5000 0.0000 0.0000  0.00
Sr: 0.0000 0.0000 0.5000  0.00
Sr: 0.5000 0.0000 0.5000  0.00
Sr: 0.5000 0.5000 0.0000  0.00
O: 0.1869 0.2632 0.9338  -0.03
O: 0.8131 0.7368 0.0662  -0.03
O: 0.2340 0.7487 0.6083  -0.01
O: 0.7513 0.2660 0.8917  -0.01
O: 0.2368 0.3131 0.5662  -0.03
O: 0.7632 0.6869 0.4338  -0.03
O: 0.2487 0.7340 0.1083  -0.01
O: 0.7660 0.2513 0.3917  -0.01
Mn: 0.0000 0.5000 0.0000  3.89
Mn: 0.0000 0.5000 0.5000  3.89
Tl: 0.5000 0.5000 0.5000  0.01
Tl: 0.0000 0.0000 0.0000  0.01

Results
Spin magnetization (μB/f.u.): 4.00
DFT total energy (eV per atom): -5.90
SG: C2/c

***

2.
SrMn2TlO8 | PBE with a Hubbard U | relaxed

abc: 5.7558 5.7558 8.1263
angles: 90.00 90.00 120.00
Each line ends with the local moment (μB).
Fractional positions:
Tl: 0.0000 0.0000 0.5000  -0.01
O: 0.1762 0.3529 0.7652  -0.06
O: 0.6471 0.8233 0.7652  -0.06
O: 0.3529 0.1767 0.2348  -0.06
O: 0.1767 0.8238 0.7652  -0.06
O: 0.3333 0.6667 0.0299  -0.08
O: 0.6667 0.3333 0.9701  -0.08
O: 0.8233 0.1762 0.2348  -0.06
O: 0.8238 0.6471 0.2348  -0.06
Sr: 0.0000 0.0000 0.0000  0.00
Mn: 0.6667 0.3333 0.1702  0.78
Mn: 0.3333 0.6667 0.8298  0.78

Results
Spin magnetization (μB/f.u.): 1.00
DFT total energy (eV per atom): -5.95
SG: P-3m1

***

3.
Sr2TmMnO6 | PBE with a Hubbard U | relaxed

abc: 5.7582 5.7497 8.1278
angles: 90.00 90.18 90.00
Each line ends with the local moment (μB).
Fractional positions:
Sr: 0.5033 0.5153 0.7493  0.00
Sr: 0.4967 0.4847 0.2507  0.00
Sr: 0.0033 0.9847 0.2493  0.00
Sr: 0.9967 0.0153 0.7507  0.00
O: 0.7544 0.7861 0.5250  0.13
O: 0.2456 0.2139 0.4750  0.13
O: 0.9513 0.5073 0.2337  0.14
O: 0.7878 0.7554 0.9742  0.14
O: 0.2544 0.7139 0.0250  0.13
O: 0.2122 0.2446 0.0258  0.14
O: 0.0487 0.4927 0.7663  0.14
O: 0.4513 0.9927 0.7337  0.14
O: 0.5487 0.0073 0.2663  0.14
O: 0.7456 0.2861 0.9750  0.13
O: 0.7122 0.2554 0.5258  0.14
O: 0.2878 0.7446 0.4742  0.14
Mn: 0.5000 0.0000 0.5000  3.01
Mn: 0.0000 0.5000 0.0000  3.01
Tm: 0.5000 0.0000 0.0000  -0.09
Tm: 0.0000 0.5000 0.5000  -0.09

Results
Spin magnetization (μB/f.u.): 4.07
DFT total energy (eV per atom): -6.98
SG: P2_1/c

***

4.
Sr2UMnO6 | PBE with a Hubbard U | relaxed

abc: 5.8283 5.7869 5.8151
angles: 119.84 120.73 90.00
Each line ends with the local moment (μB).
Fractional positions:
O: 0.7784 0.2802 0.0743  -0.03
O: 0.7784 0.7942 0.0743  -0.03
O: 0.3290 0.7592 0.5185  -0.03
O: 0.6710 0.2408 0.4815  -0.03
O: 0.2216 0.7198 0.9257  -0.03
O: 0.2216 0.2058 0.9257  -0.03
Mn: 0.5000 0.0000 0.0000  1.99
Sr: 0.2429 0.2524 0.5049  0.01
Sr: 0.7571 0.7476 0.4951  0.01
U: 0.0000 0.5000 0.0000  1.06

Results
Spin magnetization (μB/f.u.): 3.00
Polymorph energy (0 for the lowest one) (meV per atom): 212
SG: C2/m

***

5.
Sr3UMn2O9 | PBE with a Hubbard U | relaxed

abc: 5.7363 5.7363 7.2012
angles: 90.00 90.00 120.00
Each line ends with the local moment (μB).
Fractional positions:
Mn: 0.6667 0.3333 0.8437  3.98
Mn: 0.3333 0.6667 0.1563  3.98
O: 0.3336 0.1668 0.6732  -0.02
O: 0.1668 0.3336 0.3268  -0.02
O: 0.6664 0.8332 0.3268  -0.02
O: 0.5000 0.0000 0.0000  -0.08
O: 0.1668 0.8332 0.3268  -0.02
O: 0.8332 0.1668 0.6732  -0.02
O: 0.0000 0.5000 0.0000  -0.08
O: 0.5000 0.5000 0.0000  -0.08
O: 0.8332 0.6664 0.6732  -0.02
Sr: 0.6667 0.3333 0.2868  0.00
Sr: 0.3333 0.6667 0.7132  0.00
Sr: 0.0000 0.0000 0.0000  0.00
U: 0.0000 0.0000 0.5000  0.15

Results
Spin magnetization (μB/f.u.): 8.00
DFT total energy (eV per atom): -7.65
SG: P-3m1

***

6.
Sr2UMnO6 | PBE with a Hubbard U | relaxed

abc: 5.9746 5.8823 10.1928
angles: 55.05 90.00 90.00
Each line ends with the local moment (μB).
Fractional positions:
O: 0.2827 0.7501 0.5486  0.01
O: 0.2019 0.3279 0.4571  0.01
O: 0.5284 0.8445 0.2426  0.01
O: 0.2981 0.3279 0.9571  0.01
O: 0.7981 0.6721 0.5429  0.01
O: 0.7827 0.2499 0.9514  0.01
O: 0.7019 0.6721 0.0429  0.01
O: 0.9716 0.8445 0.7426  0.01
O: 0.4716 0.1555 0.7574  0.01
O: 0.2173 0.7501 0.0486  0.01
O: 0.7173 0.2499 0.4514  0.01
O: 0.0284 0.1555 0.2574  0.01
Sr: 0.5413 0.7379 0.7518  0.00
Sr: 0.4587 0.2621 0.2482  0.00
Sr: 0.0413 0.2621 0.7482  0.00
Sr: 0.9587 0.7379 0.2518  0.00
Mn: 0.0000 0.5000 0.0000  4.59
Mn: 0.5000 0.5000 0.5000  4.59
U: 0.5000 0.0000 0.0000  0.19
U: 0.0000 0.0000 0.5000  0.19

Results
Spin magnetization (μB/f.u.): 5.00
Polymorph energy (0 for the lowest one) (meV per atom): 0
SG: P2_1/c

***

7.
SrUMnO6 | PBE with a Hubbard U | relaxed

abc: 5.0261 5.0261 9.9340
angles: 90.00 90.00 90.00
Each line ends with the local moment (μB).
Fractional positions:
O: 0.2780 0.2780 0.3071  -0.07
O: 0.8346 0.1655 0.4903  -0.07
O: 0.3346 0.3346 0.9903  -0.07
O: 0.2089 0.7911 0.1986  -0.05
O: 0.1655 0.8346 0.4903  -0.07
O: 0.6654 0.6654 0.9903  -0.07
O: 0.7911 0.2089 0.1986  -0.05
O: 0.7780 0.2220 0.8071  -0.07
O: 0.2220 0.7780 0.8071  -0.07
O: 0.7089 0.7089 0.6986  -0.05
O: 0.2911 0.2911 0.6986  -0.05
O: 0.7220 0.7220 0.3071  -0.07
U: 0.0000 0.0000 0.6688  0.04
U: 0.5000 0.5000 0.1688  0.04
Mn: 0.0000 0.0000 0.3338  3.28
Mn: 0.5000 0.5000 0.8338  3.28
Sr: 0.0000 0.0000 0.0054  0.00
Sr: 0.5000 0.5000 0.5054  0.00

Results
Spin magnetization (μB/f.u.): 2.99
DFT total energy (eV per atom): -7.99
SG: P4_2nm

***

8.
SrUMn4O8 | PBE with a Hubbard U | relaxed

abc: 6.5593 6.5593 6.6777
angles: 60.58 60.58 60.00
Each line ends with the local moment (μB).
Fractional positions:
U: 0.9997 0.9997 0.0009  0.34
Sr: 0.3604 0.3604 0.9187  0.01
Mn: 0.9994 0.4975 0.5036  4.62
Mn: 0.6392 0.6392 0.0824  4.62
Mn: 0.9994 0.9994 0.5036  4.62
Mn: 0.4975 0.9994 0.5036  4.62
O: 0.7973 0.2208 0.7611  0.03
O: 0.2208 0.7973 0.7611  0.03
O: 0.7678 0.7678 0.6966  0.06
O: 0.2348 0.7708 0.2236  0.03
O: 0.7708 0.2348 0.2236  0.03
O: 0.7708 0.7708 0.2236  0.03
O: 0.2208 0.2208 0.7611  0.03
O: 0.2212 0.2212 0.3364  0.04

Results
Spin magnetization (μB/f.u.): 20.05
DFT total energy (eV per atom): -8.11
SG: R3m

***

- Among the records above, which one has the highest spin magnetization?
  SrUMn4O8

***

- The highest spin magnetization belongs to which entry?
  SrUMn4O8

***

- The highest spin magnetization belongs to which entry?
  SrUMn4O8

***

- spin magnetization of number 5 (Sr3UMn2O9)?
  8.00 μB/f.u.